# 1
This record from the Alexandria database describes an optimized crystal structure of SmErTm2S4. The functional is PBE.

VASP energy: -6.297 eV per atom
DOS(E_F): 4.57 states/eV/cell
symmetry: P2/m (10)
formation energy (no corrections): -1955 meV/atom

a b c (Å): 3.845 6.781 6.751
angles (deg): 71.11 90.00 90.00
Positions (direct):
Sm 0.500 0.500 0.000
Er 0.000 0.500 0.500
Tm 0.000 0.000 0.000
Tm 0.500 0.000 0.500
S 0.000 0.761 0.740
S 0.000 0.239 0.260
S 0.500 0.757 0.254
S 0.500 0.243 0.746

***

# 2
This record from the Alexandria database describes an optimized crystal structure of SmErTm2S6. The functional is PBE.

VASP energy: -6.352 eV per atom
DOS(E_F): 0.00 states/eV/cell
symmetry: R3 (146)
formation energy (no corrections): -2053 meV/atom

a b c (Å): 6.887 6.888 7.315
angles (deg): 61.91 61.92 60.00
Positions (direct):
Sm 0.812 0.812 0.565
Er 0.316 0.316 0.052
Tm 0.516 0.516 0.451
Tm 0.014 0.014 0.959
S 0.616 0.225 0.247
S 0.225 0.912 0.247
S 0.912 0.616 0.247
S 0.399 0.722 0.749
S 0.722 0.129 0.749
S 0.130 0.399 0.749

***

# 3
This record from the Alexandria database describes an optimized crystal structure of Sm2ErTmS4. The functional is PBE.

VASP energy: -6.361 eV per atom
DOS(E_F): 4.10 states/eV/cell
symmetry: P2/m (10)
formation energy (no corrections): -1988 meV/atom

a b c (Å): 3.876 6.755 6.936
angles (deg): 108.76 90.00 90.00
Positions (direct):
Sm 0.500 0.000 0.500
Sm 0.000 0.500 0.500
Er 0.500 0.500 0.000
Tm 0.000 0.000 0.000
S 0.500 0.243 0.234
S 0.500 0.757 0.766
S 0.000 0.254 0.765
S 0.000 0.746 0.235

***

# 4
This record from the Alexandria database describes an optimized crystal structure of Sm3Er2TmS6. The functional is PBE.

VASP energy: -6.370 eV per atom
DOS(E_F): 5.35 states/eV/cell
symmetry: C2/m (12)
formation energy (no corrections): -1993 meV/atom

a b c (Å): 6.778 6.778 6.882
angles (deg): 99.42 99.42 120.18
Positions (direct):
Sm 0.167 0.833 0.500
Sm 0.833 0.167 0.500
Sm 0.500 0.500 0.500
Er 0.333 0.667 0.000
Er 0.667 0.333 0.000
Tm 0.000 0.000 0.000
S 0.922 0.590 0.765
S 0.747 0.747 0.236
S 0.078 0.410 0.235
S 0.590 0.922 0.765
S 0.253 0.253 0.764
S 0.410 0.078 0.235

***

# 5
This record from the Alexandria database describes an optimized crystal structure of SmEr2TmS4. The functional is PBE.

VASP energy: -6.312 eV per atom
DOS(E_F): 4.60 states/eV/cell
symmetry: P2/m (10)
formation energy (no corrections): -1959 meV/atom

a b c (Å): 3.853 6.752 6.796
angles (deg): 71.07 90.00 90.00
Positions (direct):
Sm 0.500 0.500 0.000
Er 0.000 0.000 0.000
Er 0.500 0.000 0.500
Tm 0.000 0.500 0.500
S 0.000 0.758 0.740
S 0.000 0.242 0.260
S 0.500 0.753 0.256
S 0.500 0.247 0.744

***

# 6
This record from the Alexandria database describes an optimized crystal structure of Sm2ErTmS5. The functional is PBE.

VASP energy: -5.773 eV per atom
DOS(E_F): 5.54 states/eV/cell
symmetry: P4/mmm (123)
formation energy (no corrections): -1427 meV/atom

a b c (Å): 4.823 4.823 10.146
angles (deg): 90.00 90.00 90.00
Positions (direct):
Sm 0.500 0.500 0.297
Sm 0.500 0.500 0.703
Er 0.000 0.000 0.000
Tm 0.000 0.000 0.500
S 0.000 0.500 0.500
S 0.500 0.000 0.500
S 0.000 0.000 0.755
S 0.000 0.000 0.245
S 0.500 0.500 0.000

***

# 7
This record from the Alexandria database describes an optimized crystal structure of Sm4Er3TmS8. The functional is PBE.

VASP energy: -6.367 eV per atom
DOS(E_F): 7.61 states/eV/cell
symmetry: R-3m (166)
formation energy (no corrections): -1989 meV/atom

a b c (Å): 7.813 7.931 7.813
angles (deg): 119.51 120.00 90.00
Positions (direct):
Sm 0.500 0.000 0.000
Sm 0.500 0.000 0.500
Sm 0.000 0.000 0.000
Sm 0.000 0.000 0.500
Er 0.500 0.500 0.000
Er 0.500 0.500 0.500
Er 0.000 0.500 0.500
Tm 0.000 0.500 0.000
S 0.244 0.734 0.990
S 0.244 0.734 0.488
S 0.255 0.265 0.510
S 0.746 0.734 0.990
S 0.254 0.266 0.010
S 0.745 0.735 0.490
S 0.756 0.266 0.512
S 0.756 0.266 0.010

***

# 8
This record from the Alexandria database describes an optimized crystal structure of SmEr4TmS8. The functional is PBE.

VASP energy: -6.239 eV per atom
DOS(E_F): 8.40 states/eV/cell
symmetry: R3m (160)
formation energy (no corrections): -1921 meV/atom

a b c (Å): 8.012 8.012 8.004
angles (deg): 59.97 59.97 60.00
Positions (direct):
Sm 0.375 0.375 0.874
Er 0.625 0.625 0.126
Er 0.999 0.502 0.500
Er 0.502 0.999 0.500
Er 0.999 0.999 0.500
Tm 0.000 0.000 0.001
S 0.238 0.782 0.741
S 0.782 0.238 0.741
S 0.238 0.238 0.741
S 0.240 0.240 0.281
S 0.758 0.228 0.256
S 0.228 0.758 0.256
S 0.758 0.758 0.256
S 0.757 0.757 0.729

***

# 9
This record from the Alexandria database describes an optimized crystal structure of SmEr2US8. The functional is PBE.

VASP energy: -6.337 eV per atom
DOS(E_F): 1.64 states/eV/cell
symmetry: P2/m (10)
formation energy (no corrections): -1491 meV/atom

a b c (Å): 6.432 5.870 8.127
angles (deg): 90.00 90.00 90.14
Last column: magnetic moment on the atom in μB.
Positions (direct):
Sm 0.000 0.000 0.500  0.01
Er 0.500 0.500 0.754  0.02
Er 0.500 0.500 0.246  0.02
U 0.000 0.000 0.000  0.03
S 0.142 0.751 0.231  0.01
S 0.667 0.752 0.000  0.01
S 0.858 0.249 0.231  0.01
S 0.858 0.249 0.769  0.01
S 0.333 0.248 0.000  0.01
S 0.142 0.751 0.769  0.01
S 0.603 0.784 0.500  0.26
S 0.397 0.216 0.500  0.26

***

# 10
This record from the Alexandria database describes an optimized crystal structure of Sm4Y3ErS8. The functional is PBE.

VASP energy: -6.744 eV per atom
DOS(E_F): 8.65 states/eV/cell
symmetry: R-3m (166)
formation energy (no corrections): -2004 meV/atom

a b c (Å): 7.885 7.948 7.885
angles (deg): 119.73 120.00 90.00
Positions (direct):
Sm 0.500 0.000 0.000
Sm 0.500 0.000 0.500
Sm 0.000 0.000 0.000
Sm 0.000 0.000 0.500
Y 0.500 0.500 0.000
Y 0.500 0.500 0.500
Y 0.000 0.500 0.500
Er 0.000 0.500 0.000
S 0.245 0.739 0.994
S 0.245 0.739 0.490
S 0.253 0.260 0.506
S 0.749 0.739 0.994
S 0.251 0.261 0.006
S 0.747 0.740 0.494
S 0.755 0.261 0.510
S 0.755 0.261 0.006

***

# 11
This record from the Alexandria database describes an optimized crystal structure of Sm3Y4ErS8. The functional is PBE.

VASP energy: -6.846 eV per atom
DOS(E_F): 9.04 states/eV/cell
symmetry: R-3m (166)
formation energy (no corrections): -1996 meV/atom

a b c (Å): 7.892 7.899 7.891
angles (deg): 119.97 120.00 90.00
Positions (direct):
Sm 0.500 0.500 0.000
Sm 0.500 0.500 0.500
Sm 0.000 0.500 0.500
Y 0.500 0.000 0.000
Y 0.500 0.000 0.500
Y 0.000 0.000 0.000
Y 0.000 0.000 0.500
Er 0.000 0.500 0.000
S 0.248 0.754 0.006
S 0.248 0.754 0.496
S 0.247 0.241 0.494
S 0.758 0.754 0.006
S 0.242 0.246 0.994
S 0.753 0.759 0.506
S 0.752 0.246 0.504
S 0.752 0.246 0.994

***

# 12
This record from the Alexandria database describes an optimized crystal structure of SmY3Er2S6. The functional is PBE.

VASP energy: -6.823 eV per atom
DOS(E_F): 4.90 states/eV/cell
symmetry: C2/m (12)
formation energy (no corrections): -1989 meV/atom

a b c (Å): 6.791 6.791 6.778
angles (deg): 99.58 99.58 120.20
Positions (direct):
Sm 0.000 0.000 0.000
Y 0.162 0.838 0.500
Y 0.838 0.162 0.500
Y 0.500 0.500 0.500
Er 0.334 0.666 0.000
Er 0.666 0.334 0.000
S 0.917 0.575 0.750
S 0.741 0.741 0.247
S 0.083 0.425 0.250
S 0.575 0.917 0.750
S 0.259 0.259 0.753
S 0.425 0.083 0.250

***

# 13
This record from the Alexandria database describes an optimized crystal structure of Sm2YEr3S6. The functional is PBE.

VASP energy: -6.517 eV per atom
DOS(E_F): 5.10 states/eV/cell
symmetry: C2/m (12)
formation energy (no corrections): -1987 meV/atom

a b c (Å): 3.902 7.898 8.778
angles (deg): 103.58 102.84 90.00
Positions (direct):
Sm 0.833 0.665 0.665
Sm 0.167 0.335 0.335
Y 0.500 0.000 0.000
Er 0.500 0.500 0.000
Er 0.832 0.167 0.664
Er 0.168 0.833 0.336
S 0.333 0.926 0.666
S 0.663 0.591 0.326
S 0.667 0.074 0.334
S 0.997 0.252 0.993
S 0.003 0.748 0.007
S 0.337 0.409 0.674

***

# 14
This record from the Alexandria database describes an optimized crystal structure of Sm2YErS4. The functional is PBE.

VASP energy: -6.623 eV per atom
DOS(E_F): 4.63 states/eV/cell
symmetry: P2/m (10)
formation energy (no corrections): -2001 meV/atom

a b c (Å): 3.904 6.815 6.928
angles (deg): 108.90 90.00 90.00
Positions (direct):
Sm 0.500 0.000 0.500
Sm 0.000 0.500 0.500
Y 0.000 0.000 0.000
Er 0.500 0.500 0.000
S 0.500 0.249 0.239
S 0.500 0.751 0.761
S 0.000 0.257 0.763
S 0.000 0.743 0.237

***

# 15
This record from the Alexandria database describes an optimized crystal structure of SmYEr4S8. The functional is PBE.

VASP energy: -6.387 eV per atom
DOS(E_F): 8.32 states/eV/cell
symmetry: R3m (160)
formation energy (no corrections): -1926 meV/atom

a b c (Å): 8.021 8.021 8.039
angles (deg): 60.07 60.07 60.00
Positions (direct):
Sm 0.374 0.374 0.877
Y 0.999 0.999 0.002
Er 0.625 0.625 0.124
Er 0.000 0.502 0.499
Er 0.502 0.000 0.499
Er 0.000 0.000 0.499
S 0.242 0.780 0.736
S 0.780 0.242 0.736
S 0.242 0.242 0.736
S 0.239 0.239 0.283
S 0.755 0.230 0.260
S 0.230 0.755 0.260
S 0.755 0.755 0.260
S 0.758 0.758 0.727

***

# 16
This record from the Alexandria database describes an optimized crystal structure of SmY2ErS6. The functional is PBE.

VASP energy: -6.752 eV per atom
DOS(E_F): 0.00 states/eV/cell
symmetry: R3 (146)
formation energy (no corrections): -2054 meV/atom

a b c (Å): 6.945 6.945 7.374
angles (deg): 61.90 61.91 59.99
Positions (direct):
Sm 0.813 0.813 0.561
Y 0.518 0.518 0.447
Y 0.015 0.015 0.954
Er 0.317 0.317 0.050
S 0.611 0.220 0.249
S 0.220 0.920 0.249
S 0.920 0.611 0.249
S 0.407 0.717 0.752
S 0.717 0.124 0.752
S 0.125 0.407 0.752

***

# 17
This record from the Alexandria database describes an optimized crystal structure of Sm2ErZrS4. The functional is PBE.

VASP energy: -6.715 eV per atom
DOS(E_F): 3.30 states/eV/cell
symmetry: P2/m (10)
formation energy (no corrections): -1833 meV/atom

a b c (Å): 3.898 6.733 6.756
angles (deg): 109.63 90.00 90.00
Positions (direct):
Sm 0.500 0.000 0.500
Sm 0.000 0.500 0.500
Er 0.000 0.000 0.000
Zr 0.500 0.500 0.000
S 0.500 0.248 0.234
S 0.500 0.752 0.766
S 0.000 0.259 0.768
S 0.000 0.741 0.232

***

# 18
This record from the Alexandria database describes an optimized crystal structure of Er2SnS4. The functional is PBE.

VASP energy: -5.804 eV per atom
symmetry: I4_1/amd (141)
formation energy (no corrections): -1570 meV/atom

a b c (Å): 8.138 8.138 8.137
angles (deg): 119.96 119.96 90.07
Positions (direct):
Er 0.625 0.375 0.750
Er 0.625 0.875 0.250
Er 0.625 0.375 0.250
Er 0.125 0.375 0.750
Sn 0.250 0.750 0.500
Sn 0.000 0.000 0.000
S 0.862 0.139 0.277
S 0.388 0.611 0.223
S 0.862 0.585 0.723
S 0.861 0.138 0.723
S 0.415 0.138 0.277
S 0.388 0.165 0.777
S 0.389 0.612 0.777
S 0.835 0.612 0.223

***

# 19
This record from the Alexandria database describes an optimized crystal structure of Er5SnS5. The functional is PBE.

VASP energy: -6.049 eV per atom
DOS(E_F): 2.47 states/eV/cell
symmetry: C2/m (12)
formation energy (no corrections): -1735 meV/atom

a b c (Å): 5.631 6.863 7.977
angles (deg): 106.69 90.00 114.22
Positions (direct):
Er 0.834 0.667 0.181
Er 0.830 0.660 0.653
Er 0.500 0.000 0.000
Er 0.170 0.340 0.347
Er 0.166 0.333 0.819
Sn 0.000 0.000 0.000
S 0.668 0.336 0.334
S 0.673 0.347 0.842
S 0.000 0.000 0.500
S 0.327 0.653 0.158
S 0.332 0.664 0.666